Record 1
Entry from Alexandria: a relaxed Np2HgSb crystal (PBE-GGA).

- E_form (uncorrected) (eV per atom) = 0.020
- E above lowest polymorph (kJ per mole of atoms) = 0.0

a b c (Å): 4.897 4.897 4.292
angles (deg): 90.00 90.00 90.00
Fractional coordinates of all 4 atoms:
Np1 0.000 0.500 0.000
Np2 0.500 0.000 0.000
Hg1 0.000 0.000 0.500
Sb1 0.500 0.500 0.500

Record 2
Entry from Alexandria: a relaxed CaZn2InIr crystal (PBE-GGA).

- energy of formation (kJ/mol of formula units) = -84

a b c (Å): 4.883 4.883 5.073
angles (deg): 90.00 90.00 90.00
Fractional coordinates of all 5 atoms:
Ca1 0.000 0.000 0.000
Zn1 0.000 0.500 0.500
Zn2 0.500 0.000 0.500
In1 0.500 0.500 0.000
Ir1 0.500 0.500 0.500

Record 3
Entry from Alexandria: a relaxed YMnTc2 crystal (PBE-GGA).

- energy of formation (kJ/mol of formula units) = 103
- E above lowest polymorph (kJ per mole of atoms) = 10.3

a b c (Å): 4.557 4.557 4.557
angles (deg): 60.00 60.00 60.00
Fractional coordinates of all 4 atoms:
Y1 0.000 0.000 0.000
Mn1 0.250 0.250 0.250
Tc1 0.500 0.500 0.500
Tc2 0.750 0.750 0.750

Record 4
Entry from Alexandria: a relaxed AcMg10Au2 crystal (PBE-GGA).

- energy of formation (kJ/mol of formula units) = -307

a b c (Å): 10.201 7.776 7.756
angles (deg): 82.11 49.03 48.86
Fractional coordinates of all 13 atoms:
Ac1 0.000 0.000 0.000
Mg1 0.000 0.000 0.500
Mg2 0.015 0.349 0.651
Mg3 0.283 0.490 0.510
Mg4 0.349 0.015 0.985
Mg5 0.490 0.283 0.717
Mg6 0.500 0.500 0.000
Mg7 0.510 0.717 0.283
Mg8 0.651 0.985 0.015
Mg9 0.717 0.510 0.490
Mg10 0.985 0.651 0.349
Au1 0.000 0.500 0.000
Au2 0.500 0.000 0.500

Record 5
Entry from Alexandria: a relaxed Pm3GaH crystal (PBE-GGA).

- E above lowest polymorph (kJ per mole of atoms) = 2.5

a b c (Å): 4.875 4.875 4.875
angles (deg): 90.00 90.00 90.00
Fractional coordinates of all 5 atoms:
Pm1 0.000 0.000 0.500
Pm2 0.000 0.500 0.000
Pm3 0.500 0.000 0.000
Ga1 0.500 0.500 0.500
H1 0.000 0.000 0.000

Record 6
Entry from Alexandria: a relaxed NdTaTi2 crystal (PBE-GGA).

- energy of formation (kJ/mol of formula units) = 68

a b c (Å): 3.469 3.469 7.085
angles (deg): 90.00 90.00 90.00
Fractional coordinates of all 4 atoms:
Nd1 0.000 0.000 0.000
Ta1 0.000 0.000 0.500
Ti1 0.500 0.500 0.305
Ti2 0.500 0.500 0.695

Record 7
Entry from Alexandria: a relaxed P2RuCl2 crystal (PBE-GGA).

- E_form (uncorrected) (eV per atom) = 1.043

a b c (Å): 5.096 5.096 5.096
angles (deg): 120.62 120.62 88.93
Fractional coordinates of all 5 atoms:
P1 0.250 0.750 0.500
P2 0.750 0.250 0.500
Ru1 0.000 0.000 0.000
Cl1 0.313 0.313 0.000
Cl2 0.687 0.687 0.000

Record 8
Entry from Alexandria: a relaxed Sm4Si2I5 crystal (PBE-GGA).

- E_form (uncorrected) (eV per atom) = -0.969

a b c (Å): 11.241 11.241 11.241
angles (deg): 158.00 134.83 50.79
Fractional coordinates of all 11 atoms:
Sm1 0.186 0.186 0.000
Sm2 0.207 0.500 0.707
Sm3 0.793 0.500 0.293
Sm4 0.814 0.814 0.000
Si1 0.055 0.055 0.000
Si2 0.945 0.945 0.000
I1 0.104 0.331 0.773
I2 0.442 0.669 0.773
I3 0.500 0.000 0.500
I4 0.558 0.331 0.227
I5 0.896 0.669 0.227

Record 9
Entry from Alexandria: a relaxed HgBi2P crystal (PBE-GGA).

- energy of formation (kJ/mol of formula units) = 57
- E above lowest polymorph (kJ per mole of atoms) = 0.0

a b c (Å): 8.496 8.496 8.496
angles (deg): 26.86 26.86 26.86
Fractional coordinates of all 4 atoms:
Hg1 0.000 0.000 0.000
Bi1 0.238 0.238 0.238
Bi2 0.762 0.762 0.762
P1 0.500 0.500 0.500

Record 10
Entry from Alexandria: a relaxed InRu5 crystal (PBE-GGA).

- energy of formation (kJ/mol of formula units) = 72
- E above lowest polymorph (kJ per mole of atoms) = 0.0

a b c (Å): 5.240 5.240 6.530
angles (deg): 104.25 104.25 31.07
Fractional coordinates of all 6 atoms:
In1 0.000 0.000 0.000
Ru1 0.050 0.050 0.598
Ru2 0.317 0.317 0.649
Ru3 0.375 0.375 0.285
Ru4 0.666 0.666 0.340
Ru5 0.724 0.724 0.929

Record 11
Entry from Alexandria: a relaxed Tb2CeDy3Er6 crystal (PBE-GGA).

- energy of formation (kJ/mol of formula units) = 41

a b c (Å): 6.111 6.111 11.672
angles (deg): 95.01 95.01 119.97
Fractional coordinates of all 12 atoms:
Tb1 0.167 0.833 0.000
Tb2 0.833 0.167 0.000
Ce1 0.500 0.500 0.000
Dy1 0.000 0.000 0.500
Dy2 0.333 0.667 0.500
Dy3 0.667 0.333 0.500
Er1 0.085 0.416 0.750
Er2 0.252 0.252 0.250
Er3 0.416 0.085 0.750
Er4 0.584 0.915 0.250
Er5 0.748 0.748 0.750
Er6 0.915 0.584 0.250

Record 12
Entry from Alexandria: a relaxed PmCd3Cu crystal (PBE-GGA).

- energy of formation (kJ/mol of formula units) = -92
- E above lowest polymorph (kJ per mole of atoms) = 0.6

a b c (Å): 9.108 4.470 11.102
angles (deg): 90.00 90.00 90.00
Fractional coordinates of all 20 atoms:
Pm1 0.188 0.250 0.008
Pm2 0.312 0.750 0.508
Pm3 0.688 0.250 0.492
Pm4 0.812 0.750 0.992
Cd1 0.054 0.250 0.410
Cd2 0.093 0.750 0.212
Cd3 0.145 0.750 0.798
Cd4 0.355 0.250 0.298
Cd5 0.407 0.250 0.712
Cd6 0.446 0.750 0.910
Cd7 0.554 0.250 0.090
Cd8 0.593 0.750 0.288
Cd9 0.645 0.750 0.702
Cd10 0.855 0.250 0.202
Cd11 0.907 0.250 0.788
Cd12 0.946 0.750 0.590
Cu1 0.135 0.250 0.640
Cu2 0.365 0.750 0.140
Cu3 0.635 0.250 0.860
Cu4 0.865 0.750 0.360

Record 13
Entry from Alexandria: a relaxed As2RuPb crystal (PBE-GGA).

- energy of formation (kJ/mol of formula units) = 202

a b c (Å): 3.998 3.998 4.909
angles (deg): 90.00 90.00 90.00
Fractional coordinates of all 4 atoms:
As1 0.000 0.500 0.000
As2 0.500 0.000 0.000
Ru1 0.000 0.000 0.500
Pb1 0.500 0.500 0.500

Record 14
Entry from Alexandria: a relaxed BaLiMnW2 crystal (PBE-GGA).

- energy of formation (kJ/mol of formula units) = 669

a b c (Å): 4.546 4.546 5.845
angles (deg): 90.00 90.00 90.00
Fractional coordinates of all 5 atoms:
Ba1 0.000 0.000 0.000
Li1 0.500 0.500 0.000
Mn1 0.000 0.000 0.500
W1 0.000 0.500 0.500
W2 0.500 0.000 0.500

Record 15
Entry from Alexandria: a relaxed MnAlOs crystal (PBE-GGA).

- energy of formation (kJ/mol of formula units) = -9

a b c (Å): 4.093 4.093 2.694
angles (deg): 90.00 90.00 120.00
Fractional coordinates of all 3 atoms:
Mn1 0.000 0.000 0.000
Al1 0.333 0.667 0.740
Os1 0.667 0.333 0.363

Record 16
Entry from Alexandria: a relaxed HoGa3Rh crystal (PBE-GGA).

- energy of formation (kJ/mol of formula units) = -344

a b c (Å): 6.418 6.418 6.418
angles (deg): 90.00 90.00 90.00
Fractional coordinates of all 15 atoms:
Ho1 0.000 0.000 0.500
Ho2 0.000 0.500 0.000
Ho3 0.500 0.000 0.000
Ga1 0.000 0.000 0.000
Ga2 0.288 0.288 0.288
Ga3 0.288 0.288 0.712
Ga4 0.288 0.712 0.288
Ga5 0.288 0.712 0.712
Ga6 0.712 0.288 0.288
Ga7 0.712 0.288 0.712
Ga8 0.712 0.712 0.288
Ga9 0.712 0.712 0.712
Rh1 0.000 0.500 0.500
Rh2 0.500 0.000 0.500
Rh3 0.500 0.500 0.000

Record 17
Entry from Alexandria: a relaxed NaP2AuO crystal (PBE-GGA).

- E_form (uncorrected) (eV per atom) = 1.218
- E above lowest polymorph (kJ per mole of atoms) = 61.4

a b c (Å): 4.886 4.886 3.890
angles (deg): 90.00 90.00 90.00
Fractional coordinates of all 5 atoms:
Na1 0.000 0.000 0.000
P1 0.000 0.500 0.000
P2 0.500 0.000 0.000
Au1 0.500 0.500 0.500
O1 0.000 0.000 0.500

Record 18
Entry from Alexandria: a relaxed GeSIN2 crystal (PBE-GGA).

- E_form (uncorrected) (eV per atom) = 1.304
- E above lowest polymorph (kJ per mole of atoms) = 0.0

a b c (Å): 3.774 3.774 6.659
angles (deg): 90.00 90.00 90.00
Fractional coordinates of all 5 atoms:
Ge1 0.000 0.000 0.000
S1 0.000 0.000 0.500
I1 0.500 0.500 0.500
N1 0.000 0.500 0.000
N2 0.500 0.000 0.000

Record 19
Entry from Alexandria: a relaxed Tl4HgPb5 crystal (PBE-GGA).

- energy of formation (kJ/mol of formula units) = 22

a b c (Å): 3.670 3.670 22.677
angles (deg): 90.00 90.00 90.00
Fractional coordinates of all 10 atoms:
Tl1 0.000 0.000 0.102
Tl2 0.000 0.000 0.308
Tl3 0.000 0.000 0.692
Tl4 0.000 0.000 0.898
Hg1 0.000 0.000 0.500
Pb1 0.500 0.500 0.000
Pb2 0.500 0.500 0.205
Pb3 0.500 0.500 0.412
Pb4 0.500 0.500 0.588
Pb5 0.500 0.500 0.795

Record 20
Entry from Alexandria: a relaxed K3Mg20In14 crystal (PBE-GGA).

- energy of formation (kJ/mol of formula units) = -390

a b c (Å): 9.817 9.817 9.817
angles (deg): 90.00 90.00 90.00
Fractional coordinates of all 37 atoms:
K1 0.000 0.000 0.500
K2 0.000 0.500 0.000
K3 0.500 0.000 0.000
Mg1 0.175 0.175 0.175
Mg2 0.175 0.175 0.825
Mg3 0.175 0.825 0.175
Mg4 0.175 0.825 0.825
Mg5 0.267 0.267 0.500
Mg6 0.267 0.500 0.267
Mg7 0.267 0.500 0.733
Mg8 0.267 0.733 0.500
Mg9 0.500 0.267 0.267
Mg10 0.500 0.267 0.733
Mg11 0.500 0.733 0.267
Mg12 0.500 0.733 0.733
Mg13 0.733 0.267 0.500
Mg14 0.733 0.500 0.267
Mg15 0.733 0.500 0.733
Mg16 0.733 0.733 0.500
Mg17 0.825 0.175 0.175
Mg18 0.825 0.175 0.825
Mg19 0.825 0.825 0.175
Mg20 0.825 0.825 0.825
In1 0.000 0.000 0.000
In2 0.000 0.349 0.349
In3 0.000 0.349 0.651
In4 0.000 0.651 0.349
In5 0.000 0.651 0.651
In6 0.349 0.000 0.349
In7 0.349 0.000 0.651
In8 0.349 0.349 0.000
In9 0.349 0.651 0.000
In10 0.500 0.500 0.500
In11 0.651 0.000 0.349
In12 0.651 0.000 0.651
In13 0.651 0.349 0.000
In14 0.651 0.651 0.000

Record 21
Entry from Alexandria: a relaxed TaNO2F crystal (PBE-GGA).

- E_form (uncorrected) (eV per atom) = 0.808

a b c (Å): 3.588 3.588 3.602
angles (deg): 90.00 90.00 90.00
Fractional coordinates of all 5 atoms:
Ta1 0.000 0.000 0.000
N1 0.500 0.500 0.000
O1 0.000 0.500 0.500
O2 0.500 0.000 0.500
F1 0.500 0.500 0.500

Record 22
Entry from Alexandria: a relaxed LaSmThMg crystal (PBE-GGA).

- energy of formation (kJ/mol of formula units) = -21
- E above lowest polymorph (kJ per mole of atoms) = 0.0

a b c (Å): 3.647 3.647 9.490
angles (deg): 90.00 90.00 90.00
Fractional coordinates of all 4 atoms:
La1 0.000 0.000 0.000
Sm1 0.000 0.000 0.487
Th1 0.500 0.500 0.741
Mg1 0.500 0.500 0.252

Record 23
Entry from Alexandria: a relaxed BPH2Os crystal (PBE-GGA).

- DFT total energy (eV/atom) = -5.209

a b c (Å): 3.251 3.251 4.734
angles (deg): 90.00 90.00 90.00
Fractional coordinates of all 5 atoms:
B1 0.000 0.000 0.000
P1 0.500 0.500 0.500
H1 0.000 0.500 0.000
H2 0.500 0.000 0.000
Os1 0.000 0.000 0.500

Record 24
Entry from Alexandria: a relaxed Al4VGa3 crystal (PBE-GGA).

- energy of formation (kJ/mol of formula units) = -8

a b c (Å): 5.333 9.462 5.355
angles (deg): 90.00 90.00 90.00
Fractional coordinates of all 16 atoms:
Al1 0.000 0.095 0.000
Al2 0.000 0.850 0.246
Al3 0.247 0.362 0.494
Al4 0.253 0.638 0.994
Al5 0.500 0.150 0.746
Al6 0.500 0.905 0.500
Al7 0.747 0.638 0.994
Al8 0.753 0.362 0.494
V1 0.000 0.836 0.748
V2 0.500 0.164 0.248
Ga1 0.000 0.092 0.498
Ga2 0.247 0.358 0.001
Ga3 0.253 0.642 0.501
Ga4 0.500 0.908 0.998
Ga5 0.747 0.642 0.501
Ga6 0.753 0.358 0.001

The records above yield total magnetic moment values of 2.40, 0.00, 0.60, 0.00, 0.01, 0.00, 0.00, 0.00, 0.00, 0.00, 0.09, 0.00, 0.00, 0.00, 0.12, 0.00, 0.00, 0.05, 0.00, 0.00, 0.00, 0.00, 0.00, 0.00 μB per atom, respectively.
The records above yield DOS(E_F) values of 12.15, 2.10, 5.29, 5.77, 9.05, 6.27, 2.97, 4.17, 1.85, 4.50, 18.93, 14.63, 1.16, 5.44, 2.78, 7.27, 5.27, 2.88, 6.35, 15.98, 1.83, 3.69, 1.15, 6.60 states/eV per cell, respectively.